Compound: SrLi2As
Source: Alexandria via LeMat-Bulk
Functional: SCAN
Structure: PBEsol geometry

Lattice parameters (Å, degrees): 4.4375 4.4375 9.2760 90.00 90.00 90.00
Atoms (fractional coordinates):
Sr: 0.0000 0.0000 0.0000
Sr: 0.5000 0.5000 0.5000
Li: 0.0000 0.5000 0.2500
Li: 0.0000 0.5000 0.7500
Li: 0.5000 0.0000 0.2500
Li: 0.5000 0.0000 0.7500
As: 0.0000 0.0000 0.5000
As: 0.5000 0.5000 0.0000

Values from the calculation:
Total magnetization = 0.691 μB/cell
Uncorrected energy = -98.3 eV for the cell shown
SG = I4/mmm
ΔH_f (0 K) = -478 meV/atom



Compound: SrLi2As
Source: Alexandria via LeMat-Bulk
Functional: SCAN
Structure: PBEsol geometry

Lattice parameters (Å, degrees): 6.1169 6.7965 4.6684 90.00 90.00 90.00
Atoms (fractional coordinates):
Sr: 0.0000 0.0000 0.0000
Sr: 0.5000 0.5000 0.0000
Li: 0.0000 0.3277 0.5000
Li: 0.0000 0.6723 0.5000
Li: 0.5000 0.1723 0.5000
Li: 0.5000 0.8277 0.5000
As: 0.0000 0.5000 0.0000
As: 0.5000 0.0000 0.0000

Values from the calculation:
Total magnetization = 1.911 μB/cell
Uncorrected energy = -99.3 eV for the cell shown
SG = Cmmm
ΔH_f (0 K) = -599 meV/atom



Compound: SrLiZr2As
Source: Alexandria via LeMat-Bulk
Functional: SCAN
Structure: PBEsol geometry

Lattice parameters (Å, degrees): 4.7266 4.7266 5.1016 90.00 90.00 90.00
Atoms (fractional coordinates):
Sr: 0.0000 0.0000 0.0000
Li: 0.0000 0.0000 0.5000
Zr: 0.0000 0.5000 0.5000
Zr: 0.5000 0.0000 0.5000
As: 0.5000 0.5000 0.0000

Values from the calculation:
Total magnetization = 0.000 μB/cell
Uncorrected energy = -103.2 eV for the cell shown
SG = P4/mmm
ΔH_f (0 K) = 608 meV/atom



Compound: Li2TcAs
Source: Alexandria via LeMat-Bulk
Functional: SCAN
Structure: PBEsol geometry

Lattice parameters (Å, degrees): 5.8974 5.8974 5.8974 90.00 90.00 90.00
Atoms (fractional coordinates):
Li: 0.0000 0.0000 0.0000
Li: 0.0000 0.5000 0.5000
Li: 0.2500 0.2500 0.2500
Li: 0.2500 0.7500 0.7500
Li: 0.5000 0.0000 0.5000
Li: 0.5000 0.5000 0.0000
Li: 0.7500 0.2500 0.7500
Li: 0.7500 0.7500 0.2500
Tc: 0.2500 0.2500 0.7500
Tc: 0.2500 0.7500 0.2500
Tc: 0.7500 0.2500 0.2500
Tc: 0.7500 0.7500 0.7500
As: 0.0000 0.0000 0.5000
As: 0.0000 0.5000 0.0000
As: 0.5000 0.0000 0.0000
As: 0.5000 0.5000 0.5000

Values from the calculation:
Total magnetization = 0.366 μB/cell
Uncorrected energy = -242.7 eV for the cell shown
SG = F-43m
ΔH_f (0 K) = -158 meV/atom



Compound: Li2TcAs
Source: Alexandria via LeMat-Bulk
Functional: SCAN
Structure: PBEsol geometry

Lattice parameters (Å, degrees): 2.6947 4.3964 4.8690 90.00 104.99 90.00
Atoms (fractional coordinates):
Li: 0.0747 0.0000 0.2445
Li: 0.9253 0.0000 0.7555
Tc: 0.5000 0.5000 0.0000
As: 0.5000 0.5000 0.5000

Values from the calculation:
Total magnetization = 0.003 μB/cell
Uncorrected energy = -60.4 eV for the cell shown
SG = P2/m
ΔH_f (0 K) = -83 meV/atom



Compound: LiTc2As
Source: Alexandria via LeMat-Bulk
Functional: SCAN
Structure: PBEsol geometry

Lattice parameters (Å, degrees): 5.9608 5.9608 5.9608 90.00 90.00 90.00
Atoms (fractional coordinates):
Li: 0.0000 0.0000 0.0000
Li: 0.0000 0.5000 0.5000
Li: 0.5000 0.0000 0.5000
Li: 0.5000 0.5000 0.0000
Tc: 0.0000 0.0000 0.5000
Tc: 0.0000 0.5000 0.0000
Tc: 0.2500 0.2500 0.7500
Tc: 0.2500 0.7500 0.2500
Tc: 0.5000 0.0000 0.0000
Tc: 0.5000 0.5000 0.5000
Tc: 0.7500 0.2500 0.2500
Tc: 0.7500 0.7500 0.7500
As: 0.2500 0.2500 0.2500
As: 0.2500 0.7500 0.7500
As: 0.7500 0.2500 0.7500
As: 0.7500 0.7500 0.2500

Values from the calculation:
Total magnetization = 0.003 μB/cell
Uncorrected energy = -372.7 eV for the cell shown
SG = F-43m
ΔH_f (0 K) = -119 meV/atom



Compound: Li3TcAs
Source: Alexandria via LeMat-Bulk
Functional: SCAN
Structure: PBEsol geometry

Lattice parameters (Å, degrees): 4.6174 4.6174 4.6174 90.00 90.00 90.00
Atoms (fractional coordinates):
Li: 0.0000 0.0000 0.5000
Li: 0.0000 0.5000 0.0000
Li: 0.5000 0.0000 0.0000
Tc: 0.0000 0.0000 0.0000
As: 0.5000 0.5000 0.5000

Values from the calculation:
Total magnetization = 2.507 μB/cell
Uncorrected energy = -57.0 eV for the cell shown
SG = Pm-3m
ΔH_f (0 K) = 1085 meV/atom



Compound: Li2TcAs
Source: Alexandria via LeMat-Bulk
Functional: SCAN
Structure: PBEsol geometry

Lattice parameters (Å, degrees): 3.0683 3.9956 4.4155 90.00 90.00 90.00
Atoms (fractional coordinates):
Li: 0.0000 0.0000 0.0000
Li: 0.5000 0.5000 0.0000
Tc: 0.0000 0.5000 0.5000
As: 0.5000 0.0000 0.5000

Values from the calculation:
Total magnetization = 0.572 μB/cell
Uncorrected energy = -60.6 eV for the cell shown
SG = Pmmm
ΔH_f (0 K) = -135 meV/atom



Compound: LiTc2As
Source: Alexandria via LeMat-Bulk
Functional: SCAN
Structure: PBEsol geometry

Lattice parameters (Å, degrees): 5.3113 8.5026 2.7177 90.00 116.57 90.00
Atoms (fractional coordinates):
Li: 0.0000 0.0000 0.0000
Li: 0.5000 0.5000 0.0000
Tc: 0.2500 0.2500 0.5000
Tc: 0.2500 0.7500 0.5000
Tc: 0.7500 0.2500 0.5000
Tc: 0.7500 0.7500 0.5000
As: 0.0000 0.5000 0.0000
As: 0.5000 0.0000 0.0000

Values from the calculation:
Total magnetization = 0.000 μB/cell
Uncorrected energy = -183.9 eV for the cell shown
SG = C2/m
ΔH_f (0 K) = 190 meV/atom



Compound: LiTc2As
Source: Alexandria via LeMat-Bulk
Functional: SCAN
Structure: PBEsol geometry

Lattice parameters (Å, degrees): 8.5469 2.9302 4.3897 90.00 105.14 90.00
Atoms (fractional coordinates):
Li: 0.0000 0.0000 0.0000
Li: 0.5000 0.5000 0.0000
Tc: 0.0075 0.5000 0.5120
Tc: 0.2556 0.5000 0.2251
Tc: 0.5075 0.0000 0.5120
Tc: 0.7556 0.0000 0.2251
As: 0.2553 0.0000 0.7472
As: 0.7553 0.5000 0.7472

Values from the calculation:
Total magnetization = 0.001 μB/cell
Uncorrected energy = -185.2 eV for the cell shown
SG = Cm
ΔH_f (0 K) = 27 meV/atom



Compound: LiTe2As
Source: Alexandria via LeMat-Bulk
Functional: SCAN
Structure: PBEsol geometry

Lattice parameters (Å, degrees): 4.0823 4.0823 20.5161 90.00 90.00 120.00
Atoms (fractional coordinates):
Li: 0.0000 0.0000 0.0000
Li: 0.3333 0.6667 0.6667
Li: 0.6667 0.3333 0.3333
Te: 0.0000 0.0000 0.2469
Te: 0.0000 0.0000 0.7531
Te: 0.3333 0.6667 0.4197
Te: 0.3333 0.6667 0.9136
Te: 0.6667 0.3333 0.0864
Te: 0.6667 0.3333 0.5803
As: 0.0000 0.0000 0.5000
As: 0.3333 0.6667 0.1667
As: 0.6667 0.3333 0.8333

Values from the calculation:
Total magnetization = 0.000 μB/cell
Uncorrected energy = -295.8 eV for the cell shown
Formation energy (no corrections) = -0.380 eV/atom
SG = R-3m



Compound: LiTe2As
Source: Alexandria via LeMat-Bulk
Functional: SCAN
Structure: PBEsol geometry

Lattice parameters (Å, degrees): 12.9747 4.0121 4.1076 90.00 95.26 90.00
Atoms (fractional coordinates):
Li: 0.0000 0.0000 0.0000
Li: 0.5000 0.5000 0.0000
Te: 0.0128 0.5000 0.5096
Te: 0.2686 0.5000 0.9483
Te: 0.5128 0.0000 0.5096
Te: 0.7686 0.0000 0.9483
As: 0.3130 0.0000 0.4042
As: 0.8130 0.5000 0.4042

Values from the calculation:
Total magnetization = 0.000 μB/cell
Uncorrected energy = -197.1 eV for the cell shown
Formation energy (no corrections) = -0.369 eV/atom
SG = Cm



Compound: LiTe2As
Source: Alexandria via LeMat-Bulk
Functional: SCAN
Structure: PBEsol geometry

Lattice parameters (Å, degrees): 4.1104 4.1104 11.0429 90.00 90.00 90.00
Atoms (fractional coordinates):
Li: 0.0000 0.0000 0.0000
Li: 0.5000 0.5000 0.5000
Te: 0.0000 0.0000 0.5000
Te: 0.0000 0.5000 0.2500
Te: 0.5000 0.0000 0.7500
Te: 0.5000 0.5000 0.0000
As: 0.0000 0.5000 0.7500
As: 0.5000 0.0000 0.2500

Values from the calculation:
Total magnetization = 0.075 μB/cell
Uncorrected energy = -194.6 eV for the cell shown
Formation energy (no corrections) = -0.049 eV/atom
SG = I-4m2



Compound: LiTe2As
Source: Alexandria via LeMat-Bulk
Functional: SCAN
Structure: PBEsol geometry

Lattice parameters (Å, degrees): 4.0431 4.0431 6.0984 90.00 90.00 90.00
Atoms (fractional coordinates):
Li: 0.0000 0.0000 0.0000
Te: 0.0000 0.0000 0.4734
Te: 0.5000 0.5000 0.9833
As: 0.5000 0.5000 0.5613

Values from the calculation:
Total magnetization = 0.000 μB/cell
Uncorrected energy = -98.7 eV for the cell shown
Formation energy (no corrections) = -0.397 eV/atom
SG = P4mm



Compound: Li3TeAs
Source: Alexandria via LeMat-Bulk
Functional: SCAN
Structure: PBEsol geometry

Lattice parameters (Å, degrees): 4.7377 4.7377 4.7377 90.00 90.00 90.00
Atoms (fractional coordinates):
Li: 0.0000 0.0000 0.5000
Li: 0.0000 0.5000 0.0000
Li: 0.5000 0.0000 0.0000
Te: 0.5000 0.5000 0.5000
As: 0.0000 0.0000 0.0000

Values from the calculation:
Total magnetization = 0.000 μB/cell
Uncorrected energy = -66.6 eV for the cell shown
Formation energy (no corrections) = -0.397 eV/atom
SG = Pm-3m